[1]
A plane-wave DFT calculation with GGA-PBEsol was carried out for MnP2SN after structural relaxation.

Calculated total energy: -5.56 eV per atom
Fermi-level density of states: 3.605 states/eV/cell
Formation energy without anion corrections: 1290 meV/atom

Cell: 4.2930 4.2930 4.0759 Å, 90.00 90.00 90.00°
Sites, in units of the cell vectors:
1 Mn 0.0000 0.0000 0.0000
2 P 0.0000 0.5000 0.0000
3 P 0.5000 0.0000 0.0000
4 S 0.0000 0.0000 0.5000
5 N 0.5000 0.5000 0.5000

---

[2]
A plane-wave DFT calculation with GGA-PBEsol was carried out for Te2HAu after structural relaxation.

E above lowest polymorph: 0 meV/atom
Calculated total energy: -3.24 eV per atom
Fermi-level density of states: 8.409 states/eV/cell

Cell: 5.8390 5.8390 10.1644 Å, 90.00 90.00 90.00°
Sites, in units of the cell vectors:
1 Te 0.1840 0.7500 0.1250
2 Te 0.2500 0.1840 0.8750
3 Te 0.2500 0.3160 0.3750
4 Te 0.3160 0.7500 0.6250
5 Te 0.6840 0.2500 0.6250
6 Te 0.7500 0.6840 0.3750
7 Te 0.7500 0.8160 0.8750
8 Te 0.8160 0.2500 0.1250
9 H 0.0000 0.0000 0.0000
10 H 0.0000 0.5000 0.2500
11 H 0.5000 0.0000 0.7500
12 H 0.5000 0.5000 0.5000
13 Au 0.0000 0.0000 0.5000
14 Au 0.0000 0.5000 0.7500
15 Au 0.5000 0.0000 0.2500
16 Au 0.5000 0.5000 0.0000

---

[3]
A plane-wave DFT calculation with GGA-PBEsol was carried out for SiAg2Bi2 after structural relaxation.

Calculated total energy: -3.90 eV per atom
Fermi-level density of states: 4.868 states/eV/cell
Formation energy without anion corrections: 284 meV/atom

Cell: 6.8977 6.8977 4.7321 Å, 90.00 90.00 90.00°
Sites, in units of the cell vectors:
1 Si 0.0000 0.0000 0.0000
2 Si 0.5000 0.5000 0.0000
3 Ag 0.1420 0.3580 0.0000
4 Ag 0.3580 0.8580 0.0000
5 Ag 0.6420 0.1420 0.0000
6 Ag 0.8580 0.6420 0.0000
7 Bi 0.1740 0.6740 0.5000
8 Bi 0.3260 0.1740 0.5000
9 Bi 0.6740 0.8260 0.5000
10 Bi 0.8260 0.3260 0.5000

---

[4]
A plane-wave DFT calculation with GGA-PBEsol was carried out for YNb2Cl after structural relaxation.

Calculated total energy: -6.73 eV per atom
Fermi-level density of states: 14.536 states/eV/cell
Formation energy without anion corrections: 885 meV/atom

Cell: 6.7083 6.7083 6.7083 Å, 90.00 90.00 90.00°
Sites, in units of the cell vectors:
1 Y 0.0000 0.0000 0.0000
2 Y 0.0000 0.5000 0.5000
3 Y 0.5000 0.0000 0.5000
4 Y 0.5000 0.5000 0.0000
5 Nb 0.2500 0.2500 0.2500
6 Nb 0.2500 0.2500 0.7500
7 Nb 0.2500 0.7500 0.2500
8 Nb 0.2500 0.7500 0.7500
9 Nb 0.7500 0.2500 0.2500
10 Nb 0.7500 0.2500 0.7500
11 Nb 0.7500 0.7500 0.2500
12 Nb 0.7500 0.7500 0.7500
13 Cl 0.0000 0.0000 0.5000
14 Cl 0.0000 0.5000 0.0000
15 Cl 0.5000 0.0000 0.0000
16 Cl 0.5000 0.5000 0.5000

---

[5]
A plane-wave DFT calculation with GGA-PBEsol was carried out for Ho3Ge13Ir4 after structural relaxation.

Calculated total energy: -6.48 eV per atom
DFT formation energy: -0.5657 eV/atom
Fermi-level density of states: 13.526 states/eV/cell

Cell: 8.9078 8.9078 8.9078 Å, 90.00 90.00 90.00°
Sites, in units of the cell vectors:
1 Ho 0.0000 0.2500 0.5000
2 Ho 0.0000 0.7500 0.5000
3 Ho 0.2500 0.5000 0.0000
4 Ho 0.5000 0.0000 0.2500
5 Ho 0.5000 0.0000 0.7500
6 Ho 0.7500 0.5000 0.0000
7 Ge 0.0000 0.0000 0.0000
8 Ge 0.0000 0.3083 0.1445
9 Ge 0.0000 0.3083 0.8555
10 Ge 0.0000 0.6917 0.1445
11 Ge 0.0000 0.6917 0.8555
12 Ge 0.1445 0.0000 0.3083
13 Ge 0.1445 0.0000 0.6917
14 Ge 0.1917 0.5000 0.3555
15 Ge 0.1917 0.5000 0.6445
16 Ge 0.3083 0.1445 0.0000
17 Ge 0.3083 0.8555 0.0000
18 Ge 0.3555 0.1917 0.5000
19 Ge 0.3555 0.8083 0.5000
20 Ge 0.5000 0.3555 0.1917
21 Ge 0.5000 0.3555 0.8083
22 Ge 0.5000 0.5000 0.5000
23 Ge 0.5000 0.6445 0.1917
24 Ge 0.5000 0.6445 0.8083
25 Ge 0.6445 0.1917 0.5000
26 Ge 0.6445 0.8083 0.5000
27 Ge 0.6917 0.1445 0.0000
28 Ge 0.6917 0.8555 0.0000
29 Ge 0.8083 0.5000 0.3555
30 Ge 0.8083 0.5000 0.6445
31 Ge 0.8555 0.0000 0.3083
32 Ge 0.8555 0.0000 0.6917
33 Ir 0.2500 0.2500 0.2500
34 Ir 0.2500 0.2500 0.7500
35 Ir 0.2500 0.7500 0.2500
36 Ir 0.2500 0.7500 0.7500
37 Ir 0.7500 0.2500 0.2500
38 Ir 0.7500 0.2500 0.7500
39 Ir 0.7500 0.7500 0.2500
40 Ir 0.7500 0.7500 0.7500

---

[6]
A plane-wave DFT calculation with GGA-PBEsol was carried out for La2AlAs after structural relaxation.

E above lowest polymorph: 197 meV/atom
Calculated total energy: -5.47 eV per atom
DFT formation energy: -0.4973 eV/atom
Fermi-level density of states: 14.674 states/eV/cell

Cell: 8.2872 8.2872 6.4342 Å, 90.00 90.00 90.00°
Sites, in units of the cell vectors:
1 La 0.2292 0.7500 0.1250
2 La 0.2500 0.2292 0.8750
3 La 0.2500 0.2708 0.3750
4 La 0.2708 0.7500 0.6250
5 La 0.7292 0.2500 0.6250
6 La 0.7500 0.7292 0.3750
7 La 0.7500 0.7708 0.8750
8 La 0.7708 0.2500 0.1250
9 Al 0.0000 0.0000 0.5000
10 Al 0.0000 0.5000 0.7500
11 Al 0.5000 0.0000 0.2500
12 Al 0.5000 0.5000 0.0000
13 As 0.0000 0.0000 0.0000
14 As 0.0000 0.5000 0.2500
15 As 0.5000 0.0000 0.7500
16 As 0.5000 0.5000 0.5000

---

[7]
A plane-wave DFT calculation with GGA-PBEsol was carried out for LiTa2Al after structural relaxation.

E above lowest polymorph: 79 meV/atom
Calculated total energy: -7.59 eV per atom
DFT formation energy: 0.1986 eV/atom
Fermi-level density of states: 10.568 states/eV/cell

Cell: 2.8285 2.8285 29.7139 Å, 90.00 90.00 120.00°
Sites, in units of the cell vectors:
1 Li 0.0000 0.0000 0.0000
2 Li 0.3333 0.6667 0.6667
3 Li 0.6667 0.3333 0.3333
4 Ta 0.0000 0.0000 0.2459
5 Ta 0.0000 0.0000 0.7541
6 Ta 0.3333 0.6667 0.4207
7 Ta 0.3333 0.6667 0.9126
8 Ta 0.6667 0.3333 0.0874
9 Ta 0.6667 0.3333 0.5793
10 Al 0.0000 0.0000 0.5000
11 Al 0.3333 0.6667 0.1667
12 Al 0.6667 0.3333 0.8333

---

[8]
A plane-wave DFT calculation with GGA-PBEsol was carried out for KTi3Ag after structural relaxation.

E above lowest polymorph: 0 meV/atom
Calculated total energy: -4.62 eV per atom
DFT formation energy: 1.2655 eV/atom
Fermi-level density of states: 10.419 states/eV/cell

Cell: 5.0563 5.0563 5.0563 Å, 90.00 90.00 90.00°
Sites, in units of the cell vectors:
1 K 0.0000 0.0000 0.0000
2 Ti 0.0000 0.5000 0.5000
3 Ti 0.5000 0.0000 0.5000
4 Ti 0.5000 0.5000 0.0000
5 Ag 0.5000 0.5000 0.5000

---

[9]
A plane-wave DFT calculation with GGA-PBEsol was carried out for Mg3Co after structural relaxation.

Calculated total energy: -3.11 eV per atom
DFT formation energy: 0.1147 eV/atom
Fermi-level density of states: 2.846 states/eV/cell

Cell: 3.0787 3.0787 7.3916 Å, 90.00 90.00 90.00°
Sites, in units of the cell vectors:
1 Mg 0.0000 0.0000 0.0000
2 Mg 0.5000 0.5000 0.3070
3 Mg 0.5000 0.5000 0.6930
4 Co 0.0000 0.0000 0.5000

---

[10]
A plane-wave DFT calculation with GGA-PBEsol was carried out for MgPt2Rh after structural relaxation.

Calculated total energy: -6.33 eV per atom
DFT formation energy: -0.3851 eV/atom
Fermi-level density of states: 10.355 states/eV/cell

Cell: 3.8863 3.8863 7.8015 Å, 90.00 90.00 90.00°
Sites, in units of the cell vectors:
1 Mg 0.0000 0.0000 0.0000
2 Mg 0.5000 0.5000 0.5000
3 Pt 0.0000 0.5000 0.2500
4 Pt 0.0000 0.5000 0.7500
5 Pt 0.5000 0.0000 0.2500
6 Pt 0.5000 0.0000 0.7500
7 Rh 0.0000 0.0000 0.5000
8 Rh 0.5000 0.5000 0.0000

---

[11]
A plane-wave DFT calculation with GGA-PBEsol was carried out for LaCrRe2 after structural relaxation.

E above lowest polymorph: 206 meV/atom
Calculated total energy: -9.79 eV per atom
DFT formation energy: 0.7775 eV/atom
Fermi-level density of states: 8.730 states/eV/cell

Cell: 5.3534 9.3059 2.8015 Å, 90.00 109.44 90.00°
Sites, in units of the cell vectors:
1 La 0.0000 0.0000 0.0000
2 La 0.5000 0.5000 0.0000
3 Cr 0.0000 0.5000 0.0000
4 Cr 0.5000 0.0000 0.0000
5 Re 0.2500 0.2500 0.5000
6 Re 0.2500 0.7500 0.5000
7 Re 0.7500 0.2500 0.5000
8 Re 0.7500 0.7500 0.5000

---

[12]
A plane-wave DFT calculation with GGA-PBEsol was carried out for Ag5Se after structural relaxation.

Calculated total energy: -3.19 eV per atom
Fermi-level density of states: 3.913 states/eV/cell
Formation energy without anion corrections: 215 meV/atom

Cell: 5.3812 5.3812 5.3812 Å, 60.00 60.00 60.00°
Sites, in units of the cell vectors:
1 Ag 0.0000 0.0000 0.0000
2 Ag 0.1235 0.6255 0.6255
3 Ag 0.6255 0.1235 0.6255
4 Ag 0.6255 0.6255 0.1235
5 Ag 0.6255 0.6255 0.6255
6 Se 0.2500 0.2500 0.2500